Run P
Pr2Sm7Tm3 PBE relaxed; space-group type = No. 10; magnetic moment = 0.00 Bohr magnetons per cell; D(E_F) = 17.65 states/eV/f.u.
1.0
-1.5031 -2.3892 -2.1683
5.3692 -0.1788 -3.5250
9.9972 -13.1066 7.5117
Sm Tm Pr
7 3 2
direct
0.5000 0.7614 0.4968 Sm
0.0000 0.4405 0.8371 Sm
0.0000 0.5595 0.1629 Sm
0.5000 0.0601 0.1692 Sm
0.0000 0.0000 0.0000 Sm
0.5000 0.2386 0.5032 Sm
0.5000 0.9399 0.8308 Sm
0.0000 0.1120 0.3420 Tm
0.0000 0.8880 0.6580 Tm
0.5000 0.5000 0.0000 Tm
0.5000 0.3878 0.6715 Pr
0.5000 0.6122 0.3285 Pr

Run Q
Pr2Sm7Tm3 PBE relaxed; space-group type = No. 65; magnetic moment = 0.00 Bohr magnetons per cell; D(E_F) = 18.90 states/eV/f.u.
1.0
-1.5170 2.3970 2.2903
-4.6512 -3.3914 0.4687
10.4011 -7.3343 14.5647
Sm Tm Pr
7 3 2
direct
0.5000 0.0710 0.1421 Sm
0.0000 0.5899 0.1799 Sm
0.0000 0.7686 0.5373 Sm
0.0000 0.0000 0.0000 Sm
0.0000 0.2314 0.4627 Sm
0.0000 0.4101 0.8201 Sm
0.5000 0.9290 0.8579 Sm
0.5000 0.5000 0.0000 Tm
0.5000 0.3141 0.6282 Tm
0.5000 0.6859 0.3718 Tm
0.0000 0.1483 0.2966 Pr
0.0000 0.8517 0.7034 Pr

Most stable pick: run P. Distance to second place: 49 meV per atom.

Run P
Pr2Sm4Tm3 PBE relaxed; space-group type = No. 15; magnetic moment = 0.00 Bohr magnetons per cell; D(E_F) = 12.28 states/eV/f.u.
1.0
6.1992 0.0367 0.4320
0.5722 9.4166 3.4791
0.1723 -0.3560 10.0473
Tm Pr Sm
6 4 8
direct
0.9123 0.0669 0.2651 Tm
0.4123 0.2651 0.0669 Tm
0.2500 0.3997 0.6003 Tm
0.5877 0.7349 0.9331 Tm
0.0877 0.9331 0.7349 Tm
0.7500 0.6003 0.3997 Tm
0.3202 0.5238 0.2371 Pr
0.8202 0.2371 0.5238 Pr
0.1798 0.7629 0.4762 Pr
0.6798 0.4762 0.7629 Pr
0.6531 0.8553 0.5753 Sm
0.8469 0.4247 0.1447 Sm
0.9865 0.1882 0.9077 Sm
0.5135 0.0923 0.8118 Sm
0.3469 0.1447 0.4247 Sm
0.4865 0.9077 0.1882 Sm
0.0135 0.8118 0.0923 Sm
0.1531 0.5753 0.8553 Sm

Run Q
Pr2Sm4Tm3 PBE relaxed; space-group type = No. 156; magnetic moment = 0.00 Bohr magnetons per cell; D(E_F) = 15.79 states/eV/f.u.
1.0
-0.3275 -0.7745 3.5198
2.6908 -1.4585 -1.9309
15.6107 20.8145 6.0325
Pr Tm Sm
2 3 4
direct
0.6667 0.3333 0.0875 Pr
0.6667 0.3333 0.8724 Pr
0.0000 0.0000 0.3264 Tm
0.6667 0.3333 0.6514 Tm
0.0000 0.0000 0.9816 Tm
0.0000 0.0000 0.7573 Sm
0.0000 0.0000 0.5449 Sm
0.6667 0.3333 0.2226 Sm
0.6667 0.3333 0.4332 Sm

Most stable pick: run Q. Distance to second place: 36 meV per atom.

Run P
Pr12Sm7Tm PBE relaxed; space-group type = No. 148; magnetic moment = 0.00 Bohr magnetons per cell; D(E_F) = 40.22 states/eV/f.u.
1.0
-0.7931 7.3302 5.0462
0.0013 -4.8366 7.5121
8.8674 0.7416 0.8026
Pr Sm Tm
12 7 1
direct
0.2743 0.1444 0.7440 Pr
0.5106 0.3883 0.8602 Pr
0.8556 0.2560 0.7257 Pr
0.2560 0.7257 0.8556 Pr
0.8602 0.5106 0.3883 Pr
0.7440 0.2743 0.1444 Pr
0.4894 0.6117 0.1398 Pr
0.1398 0.4894 0.6117 Pr
0.1444 0.7440 0.2743 Pr
0.6117 0.1398 0.4894 Pr
0.7257 0.8556 0.2560 Pr
0.3883 0.8602 0.5106 Pr
0.9290 0.8545 0.6116 Sm
0.3884 0.0710 0.1455 Sm
0.1455 0.3884 0.0710 Sm
0.6116 0.9290 0.8545 Sm
0.8545 0.6116 0.9290 Sm
0.5000 0.5000 0.5000 Sm
0.0710 0.1455 0.3884 Sm
0.0000 0.0000 0.0000 Tm

Run Q
Pr12Sm7Tm PBE relaxed; space-group type = No. 148; magnetic moment = 0.00 Bohr magnetons per cell; D(E_F) = 25.79 states/eV/f.u.
1.0
6.2237 0.0000 -1.2809
-3.2256 9.8897 -5.1657
0.2275 0.0000 11.6122
Sm Pr Tm
7 12 1
direct
0.1219 0.9997 0.7524 Sm
0.8781 0.0003 0.2476 Sm
0.5000 0.0000 0.0000 Sm
0.8778 0.2473 0.9997 Sm
0.3695 0.2476 0.2473 Sm
0.6305 0.7524 0.7527 Sm
0.1222 0.7527 0.0003 Sm
0.4188 0.3538 0.9995 Pr
0.5011 0.5890 0.4109 Pr
0.0650 0.6456 0.6462 Pr
0.0902 0.5891 0.1782 Pr
0.9350 0.3544 0.3538 Pr
0.5812 0.6462 0.0005 Pr
0.4193 0.0005 0.3544 Pr
0.4989 0.4110 0.5891 Pr
0.9098 0.4109 0.8218 Pr
0.5807 0.9995 0.6456 Pr
0.9120 0.8218 0.4110 Pr
0.0880 0.1782 0.5890 Pr
0.0000 0.0000 0.0000 Tm

Most stable pick: run Q. Distance to second place: 9 meV per atom.

Run P
Pr2Sm3Tm6 PBE relaxed; space-group type = No. 12; magnetic moment = 0.00 Bohr magnetons per cell; D(E_F) = 15.34 states/eV/f.u.
1.0
-4.9490 -3.0982 -1.8384
-0.5570 -1.6761 -5.8670
3.6737 -10.9231 1.7042
Tm Sm Pr
6 3 2
direct
0.9170 0.6670 0.2483 Tm
0.4161 0.6670 0.7517 Tm
0.2511 0.0000 0.2482 Tm
0.7489 0.0000 0.7518 Tm
0.5839 0.3330 0.2483 Tm
0.0830 0.3330 0.7517 Tm
0.0000 0.0000 0.0000 Sm
0.3356 0.3287 0.0000 Sm
0.6644 0.6713 0.0000 Sm
0.8333 0.3335 0.5000 Pr
0.1667 0.6665 0.5000 Pr

Run Q
Pr2Sm3Tm6 PBE relaxed; space-group type = No. 139; magnetic moment = 0.00 Bohr magnetons per cell; D(E_F) = 17.25 states/eV/f.u.
1.0
4.7456 0.0000 0.0000
0.0000 4.7456 0.0000
-2.3728 -2.3728 16.5550
Tm Sm Pr
6 3 2
direct
0.1220 0.6220 0.2439 Tm
0.8780 0.3780 0.7561 Tm
0.6925 0.6925 0.3849 Tm
0.6220 0.1220 0.2439 Tm
0.3075 0.3075 0.6151 Tm
0.3780 0.8780 0.7561 Tm
0.2042 0.2042 0.4084 Sm
0.0000 0.0000 0.0000 Sm
0.7958 0.7958 0.5916 Sm
0.5467 0.5467 0.0934 Pr
0.4533 0.4533 0.9066 Pr

Most stable pick: run P. Distance to second place: 76 meV per atom.

Run P
Pr4SmTm5 PBE relaxed; space-group type = No. 123; magnetic moment = 0.00 Bohr magnetons per cell; D(E_F) = 13.98 states/eV/f.u.
1.0
-2.1427 2.7853 0.8567
-2.0960 -2.2119 1.9488
14.0089 4.5532 20.2344
Sm Pr Tm
1 4 5
direct
0.0000 0.0000 0.0000 Sm
0.0000 0.0000 0.3996 Pr
0.0000 0.0000 0.1989 Pr
0.0000 0.0000 0.8011 Pr
0.0000 0.0000 0.6004 Pr
0.5000 0.5000 0.5000 Tm
0.5000 0.5000 0.7009 Tm
0.5000 0.5000 0.0981 Tm
0.5000 0.5000 0.2991 Tm
0.5000 0.5000 0.9019 Tm

Run Q
Pr4SmTm5 PBE relaxed; space-group type = No. 2; magnetic moment = 0.00 Bohr magnetons per cell; D(E_F) = 13.92 states/eV/f.u.
1.0
-1.9454 -2.9269 -0.2620
-0.2691 -0.8374 11.3554
-6.1616 6.1844 0.2792
Pr Tm Sm
4 5 1
direct
0.3418 0.7503 0.6802 Pr
0.0345 0.7479 0.0689 Pr
0.6582 0.2497 0.3198 Pr
0.9655 0.2521 0.9311 Pr
0.1717 0.5432 0.3446 Tm
0.8264 0.0477 0.6521 Tm
0.5000 0.5000 0.0000 Tm
0.8283 0.4568 0.6554 Tm
0.1736 0.9523 0.3479 Tm
0.5000 0.0000 0.0000 Sm

Most stable pick: run P. Distance to second place: 177 meV per atom.

Run P
Pr3Sm4Tm4 PBE relaxed; space-group type = No. 38; magnetic moment = 0.00 Bohr magnetons per cell; D(E_F) = 16.63 states/eV/f.u.
1.0
-5.6213 -0.6076 0.9622
3.9657 -1.3996 5.1910
-0.5614 10.2491 3.1923
Sm Tm Pr
4 4 3
direct
0.9581 0.9162 0.0000 Sm
0.8858 0.7715 0.5000 Sm
0.7501 0.5002 0.7856 Sm
0.7501 0.5002 0.2144 Sm
0.5572 0.1143 0.0000 Tm
0.6127 0.2254 0.5000 Tm
0.1048 0.2096 0.3026 Tm
0.1048 0.2096 0.6974 Tm
0.4109 0.8218 0.7111 Pr
0.4109 0.8218 0.2889 Pr
0.2531 0.5062 0.0000 Pr

Run Q
Pr3Sm4Tm4 PBE relaxed; space-group type = No. 12; magnetic moment = 0.00 Bohr magnetons per cell; D(E_F) = 14.36 states/eV/f.u.
1.0
-1.9814 -0.8169 -2.9076
2.4317 -4.4326 -0.4085
-13.7826 -5.8908 13.2937
Sm Tm Pr
4 4 3
direct
0.4534 0.4540 0.9072 Sm
0.1831 0.1831 0.3669 Sm
0.8168 0.8169 0.6331 Sm
0.5466 0.5460 0.0928 Sm
0.7279 0.7280 0.4563 Tm
0.2720 0.2720 0.5436 Tm
0.0916 0.0909 0.1828 Tm
0.9084 0.9091 0.8172 Tm
0.0000 0.0000 0.0000 Pr
0.6371 0.6367 0.2744 Pr
0.3629 0.3633 0.7256 Pr

Most stable pick: run Q. Distance to second place: 134 meV per atom.

Run P
Pr12Sm5Tm2 PBE relaxed; space-group type = No. 12; magnetic moment = 0.00 Bohr magnetons per cell; D(E_F) = 28.17 states/eV/f.u.
1.0
10.7746 0.0000 0.0000
-5.3873 7.7095 -0.2036
0.0000 0.7551 8.1077
Pr Sm Tm
12 5 2
direct
0.8719 0.7437 0.1011 Pr
0.4467 0.8934 0.7109 Pr
0.1674 0.7870 0.3854 Pr
0.4097 0.3692 0.2072 Pr
0.9595 0.3692 0.2072 Pr
0.8326 0.2130 0.6146 Pr
0.3803 0.2130 0.6146 Pr
0.5903 0.6308 0.7928 Pr
0.0405 0.6308 0.7928 Pr
0.1281 0.2563 0.8989 Pr
0.6197 0.7870 0.3854 Pr
0.5533 0.1066 0.2891 Pr
0.2415 0.4831 0.5175 Sm
0.7585 0.5169 0.4825 Sm
0.0000 0.0000 0.5000 Sm
0.6569 0.3137 0.9084 Sm
0.3431 0.6863 0.0916 Sm
0.2712 0.0000 0.0000 Tm
0.7288 0.0000 0.0000 Tm

Run Q
Pr12Sm5Tm2 PBE relaxed; space-group type = No. 12; magnetic moment = 0.00 Bohr magnetons per cell; D(E_F) = 31.39 states/eV/f.u.
1.0
7.6071 0.0000 0.0000
-3.8036 8.8454 3.9911
0.0000 0.3580 10.1621
Sm Pr Tm
5 12 2
direct
0.3228 0.6456 0.1950 Sm
0.1744 0.3487 0.8306 Sm
0.8256 0.6513 0.1694 Sm
0.0000 0.0000 0.5000 Sm
0.6772 0.3544 0.8050 Sm
0.4916 0.9832 0.3267 Pr
0.5913 0.6808 0.8492 Pr
0.0736 0.6689 0.4988 Pr
0.9939 0.9879 0.2123 Pr
0.4047 0.3311 0.5012 Pr
0.9105 0.3192 0.1508 Pr
0.0895 0.6808 0.8492 Pr
0.5084 0.0168 0.6733 Pr
0.9264 0.3311 0.5012 Pr
0.5953 0.6689 0.4988 Pr
0.0061 0.0121 0.7877 Pr
0.4087 0.3192 0.1508 Pr
0.2994 0.0000 0.0000 Tm
0.7006 0.0000 0.0000 Tm

Most stable pick: run P. Distance to second place: 41 meV per atom.

Run P
Pr2Sm5Tm2 PBE relaxed; space-group type = No. 12; magnetic moment = 0.00 Bohr magnetons per cell; D(E_F) = 12.12 states/eV/f.u.
1.0
-1.3081 -3.1615 -0.8562
5.4098 -3.6284 5.1326
-10.7101 5.1554 4.5907
Tm Sm Pr
2 5 2
direct
0.5477 0.7376 0.0954 Tm
0.4523 0.2624 0.9046 Tm
0.3098 0.1550 0.6196 Sm
0.0000 0.0000 0.0000 Sm
0.6902 0.8450 0.3804 Sm
0.0931 0.4512 0.1862 Sm
0.9069 0.5488 0.8138 Sm
0.1774 0.2068 0.3549 Pr
0.8226 0.7932 0.6451 Pr

Run Q
Pr2Sm5Tm2 PBE relaxed; space-group type = No. 46; magnetic moment = 0.00 Bohr magnetons per cell; D(E_F) = 12.79 states/eV/f.u.
1.0
-2.4038 -2.0401 -8.0120
8.9667 -6.4145 -1.0569
-6.6123 -0.8044 6.8150
Tm Sm Pr
4 10 4
direct
0.2312 0.5938 0.2238 Tm
0.5075 0.8700 0.7762 Tm
0.7688 0.3700 0.7762 Tm
0.4925 0.0938 0.2238 Tm
0.5705 0.4142 0.2623 Sm
0.0071 0.7782 0.5000 Sm
0.2325 0.7041 0.8382 Sm
0.4295 0.1519 0.7377 Sm
0.1057 0.2041 0.8382 Sm
0.9929 0.2782 0.5000 Sm
0.1918 0.9142 0.2623 Sm
0.7675 0.8659 0.1618 Sm
0.8082 0.6519 0.7377 Sm
0.8943 0.3659 0.1618 Sm
0.0000 0.0362 0.0000 Pr
0.5000 0.5362 0.0000 Pr
0.6430 0.9217 0.5000 Pr
0.3570 0.4217 0.5000 Pr

Most stable pick: run Q. Distance to second place: 19 meV per atom.